# 1
Entry from Alexandria: HoTh2TaC4 after structural relaxation (PBE).

a b c (Å): 7.124 7.124 7.175
angles (deg): 120.24 120.24 90.24
Sites, in units of the cell vectors:
C 0.753 0.747 0.529
C 0.772 0.231 0.001
C 0.753 0.747 0.971
C 0.247 0.253 0.471
C 0.269 0.728 0.499
C 0.731 0.272 0.501
C 0.247 0.253 0.029
C 0.228 0.769 0.999
Ho 0.000 0.500 0.000
Ho 0.000 0.500 0.500
Ta 0.500 0.500 0.500
Ta 0.000 0.000 0.000
Th 0.500 0.000 0.000
Th 0.500 0.500 0.000
Th 0.500 0.000 0.500
Th 0.000 0.000 0.500

Computed properties:
Its density is 11.170 g cm⁻³. As for the formation energy: -202 kJ/mol of formula units. Its crystal system is orthorhombic.

---

# 2
Entry from Alexandria: Ho2UTaC4 after structural relaxation (PBE).

a b c (Å): 6.863 6.863 6.960
angles (deg): 120.47 120.47 89.77
Sites, in units of the cell vectors:
Ta 0.500 0.500 0.500
Ta 0.000 0.000 0.000
U 0.000 0.500 0.000
U 0.000 0.500 0.500
Ho 0.000 0.000 0.500
Ho 0.500 0.000 0.000
Ho 0.500 0.500 0.000
Ho 0.500 0.000 0.500
C 0.759 0.741 0.524
C 0.754 0.286 0.520
C 0.241 0.259 0.476
C 0.214 0.746 0.980
C 0.246 0.714 0.480
C 0.786 0.254 0.020
C 0.241 0.259 0.024
C 0.759 0.741 0.976

Computed properties:
Its density is 11.560 g cm⁻³. As for the formation energy: -327 kJ/mol of formula units. Its crystal system is orthorhombic.

---

# 3
Entry from Alexandria: HoTa2WC4 after structural relaxation (PBE).

a b c (Å): 3.209 5.926 11.390
angles (deg): 90.00 90.00 105.71
Sites, in units of the cell vectors:
C 0.000 0.000 0.000
C 0.261 0.523 0.114
C 0.457 0.913 0.750
C 0.739 0.477 0.614
C 0.739 0.477 0.886
C 0.543 0.087 0.250
C 0.000 0.000 0.500
C 0.261 0.523 0.386
Ta 0.629 0.259 0.033
Ta 0.371 0.741 0.967
Ta 0.629 0.259 0.467
Ta 0.371 0.741 0.533
W 0.848 0.697 0.750
W 0.152 0.303 0.250
Ho 0.115 0.230 0.750
Ho 0.885 0.770 0.250

Computed properties:
Its density is 12.085 g cm⁻³. As for the formation energy: -201 kJ/mol of formula units. Its crystal system is orthorhombic.

---

# 4
Entry from Alexandria: TbHoC2 after structural relaxation (PBE).

a b c (Å): 3.600 3.600 6.224
angles (deg): 73.19 73.19 60.00
Sites, in units of the cell vectors:
Ho 0.000 0.000 0.000
C 0.251 0.251 0.247
C 0.749 0.749 0.753
Tb 0.500 0.500 0.500

Computed properties:
Its density is 8.772 g cm⁻³. As for the formation energy: 16 kJ/mol of formula units. Its crystal system is trigonal.